First-principles (GGA-PBE) data for an optimized crystal structure of Tm3PdO, as listed in Alexandria.

a b c (Å): 4.619 4.619 4.619
angles (deg): 90.00 90.00 90.00
Fractional positions:
Tm 0.000 0.500 0.000
Tm 0.000 0.000 0.500
Tm 0.500 0.000 0.000
O 0.000 0.000 0.000
Pd 0.500 0.500 0.500

Computed properties:
symmetry	No. 221
DOS at the Fermi energy	5.3	states/eV/cell
uncorrected formation energy	-1.42	eV per atom
raw total energy	-30.7	eV per formula unit